# Ca2Sn2Hg5, optimized geometry, DFT GGA-PBE
# Space group: Ima2
# Final energy (eV per atom): -1.744
# Volume (Å³ per atom): 27.40
data_Ca2Sn2Hg5
_chemical_formula_sum 'Ca4 Sn4 Hg10'
_cell_length_a 6.409
_cell_length_b 7.917
_cell_length_c 10.974
_cell_angle_alpha 111.14
_cell_angle_beta 106.98
_cell_angle_gamma 90.00
_space_group_name_H-M_alt 'P 1'
_space_group_IT_number 1
_space_group_name_Hall 'P 1'
loop_
_atom_site_label
_atom_site_fract_x
_atom_site_fract_y
_atom_site_fract_z
_atom_site_occupancy
Ca1 0.243 0.634 0.201 1
Hg1 0.315 0.627 0.859 1
Hg2 0.044 0.127 0.859 1
Hg3 0.887 0.715 0.667 1
Hg4 0.685 0.768 0.141 1
Ca2 0.542 0.933 0.799 1
Ca3 0.458 0.134 0.201 1
Hg5 0.113 0.048 0.333 1
Sn1 0.598 0.973 0.500 1
Sn2 0.000 0.846 0.000 1
Ca4 0.757 0.433 0.799 1
Sn3 0.500 0.346 0.000 1
Sn4 0.402 0.473 0.500 1
Hg6 0.140 0.793 0.500 1
Hg7 0.860 0.293 0.500 1
Hg8 0.720 0.548 0.333 1
Hg9 0.280 0.215 0.667 1
Hg10 0.956 0.268 0.141 1

# Pm6Dy3Er2In, optimized geometry, DFT GGA-PBE
# Space group: C2/m
# Final energy (eV per atom): -4.548
# Volume (Å³ per atom): 31.83
data_Pm6Dy3Er2In
_chemical_formula_sum 'Pm6 Dy3 Er2 In1'
_cell_length_a 6.183
_cell_length_b 6.183
_cell_length_c 11.737
_cell_angle_alpha 95.09
_cell_angle_beta 95.09
_cell_angle_gamma 120.13
_space_group_name_H-M_alt 'P 1'
_space_group_IT_number 1
_space_group_name_Hall 'P 1'
loop_
_atom_site_label
_atom_site_fract_x
_atom_site_fract_y
_atom_site_fract_z
_atom_site_occupancy
Pm1 0.918 0.590 0.753 1
Pm2 0.082 0.410 0.247 1
Dy1 0.500 0.500 0.500 1
Pm3 0.410 0.082 0.247 1
In1 0.000 0.000 0.000 1
Dy2 0.168 0.832 0.500 1
Pm4 0.590 0.918 0.753 1
Er1 0.334 0.666 0.000 1
Pm5 0.246 0.246 0.752 1
Pm6 0.754 0.754 0.248 1
Dy3 0.832 0.168 0.500 1
Er2 0.666 0.334 0.000 1

# InCoNiAs, optimized geometry, DFT GGA-PBE
# Space group: P4mm
# Final energy (eV per atom): -5.071
# Volume (Å³ per atom): 15.21
data_InCoNiAs
_chemical_formula_sum 'In1 Co1 Ni1 As1'
_cell_length_a 3.219
_cell_length_b 3.219
_cell_length_c 5.872
_cell_angle_alpha 90.00
_cell_angle_beta 90.00
_cell_angle_gamma 90.00
_space_group_name_H-M_alt 'P 1'
_space_group_IT_number 1
_space_group_name_Hall 'P 1'
loop_
_atom_site_label
_atom_site_fract_x
_atom_site_fract_y
_atom_site_fract_z
_atom_site_occupancy
As1 0.500 0.500 0.660 1
In1 0.000 0.000 0.287 1
Co1 0.000 0.000 0.792 1
Ni1 0.500 0.500 0.057 1